No. 1
{"formula": "NdDyInSn", "functional": "GGA-PBE", "state": "optimized geometry", "lattice": [[0.0000, 3.8279, 3.8279], [3.8279, 0.0000, 3.8279], [3.8279, 3.8279, 0.0000]], "species": ["Nd", "Dy", "In", "Sn"], "fractional_positions": [[0.0000, 0.0000, 0.0000], [0.5000, 0.5000, 0.5000], [0.7500, 0.7500, 0.7500], [0.2500, 0.2500, 0.2500]], "crystal_system": "cubic", "spacegroup": "F-43m"}


No. 2
{"formula": "Cs2Cd4PbAu3", "functional": "GGA-PBE", "state": "optimized geometry", "lattice": [[4.9653, 0.0000, 0.0000], [0.0000, 4.9653, 0.0000], [0.0000, 0.0000, 12.2467]], "species": ["Cs", "Cs", "Cd", "Cd", "Cd", "Cd", "Pb", "Au", "Au", "Au"], "fractional_positions": [[0.0000, 0.5000, 0.2425], [0.5000, 0.0000, 0.7575], [0.0000, 0.0000, 0.0000], [0.0000, 0.5000, 0.6402], [0.5000, 0.0000, 0.3598], [0.5000, 0.5000, 0.0000], [0.0000, 0.0000, 0.5000], [0.0000, 0.5000, 0.8733], [0.5000, 0.0000, 0.1267], [0.5000, 0.5000, 0.5000]], "crystal_system": "tetragonal", "spacegroup": "P-4m2"}


No. 3
{"formula": "BaZnGa2Sn", "functional": "GGA-PBE", "state": "optimized geometry", "lattice": [[-2.3577, 2.3589, 5.5962], [2.3577, -2.3589, 5.5962], [2.3577, 2.3589, -5.5962]], "species": ["Ba", "Zn", "Ga", "Ga", "Sn"], "fractional_positions": [[0.0000, 0.0000, 0.0000], [0.3821, 0.3821, 0.0000], [0.6127, 0.6127, 0.0000], [0.7510, 0.2510, 0.5000], [0.2513, 0.7513, 0.5000]], "crystal_system": "orthorhombic", "spacegroup": "Imm2"}


Raw total energy in eV/cell, matching the order above: -18.2; -20.6; -15.3
Formation enthalpy at 0 K in eV per atom, matching the order above: -0.52; -0.16; -0.40